No. 1
First-principles (PBE) data for crystalline U2GaH at its relaxed geometry, as listed in Alexandria via LeMat-Bulk.

Properties
E ... -7.25 eV/atom

abc: 2.9172 2.9172 25.8676
angles: 90.00 90.00 120.00
Fractional coordinates of all 12 atoms:
1 U 0.0000 0.0000 0.2306
2 U 0.0000 0.0000 0.7694
3 U 0.3333 0.6667 0.4361
4 U 0.3333 0.6667 0.8972
5 U 0.6667 0.3333 0.1028
6 U 0.6667 0.3333 0.5639
7 Ga 0.0000 0.0000 0.0000
8 Ga 0.3333 0.6667 0.6667
9 Ga 0.6667 0.3333 0.3333
10 H 0.0000 0.0000 0.5000
11 H 0.3333 0.6667 0.1667
12 H 0.6667 0.3333 0.8333

=====

No. 2
First-principles (PBE) data for crystalline TlP at its relaxed geometry, as listed in Alexandria via LeMat-Bulk.

Properties
Energy relative to the elements ... 0.4 eV per formula unit

abc: 3.4191 3.4191 8.0936
angles: 90.00 90.00 90.00
Fractional coordinates of all 4 atoms:
1 Tl 0.2500 0.2500 0.1701
2 Tl 0.7500 0.7500 0.8299
3 P 0.2500 0.2500 0.5285
4 P 0.7500 0.7500 0.4715

=====

No. 3
First-principles (PBE) data for crystalline ThRh4 at its relaxed geometry, as listed in Alexandria via LeMat-Bulk.

Properties
Energy relative to the elements ... -2.5 eV per formula unit

abc: 7.7815 7.7815 7.7815
angles: 147.78 136.34 55.29
Fractional coordinates of all 10 atoms:
1 Th 0.3561 0.1061 0.2500
2 Th 0.6439 0.8939 0.7500
3 Rh 0.0000 0.5000 0.5000
4 Rh 0.1385 0.8885 0.2500
5 Rh 0.1725 0.6967 0.4758
6 Rh 0.2792 0.3033 0.9758
7 Rh 0.5000 0.5000 0.0000
8 Rh 0.7208 0.6967 0.0242
9 Rh 0.8275 0.3033 0.5242
10 Rh 0.8615 0.1115 0.7500